[1]
Density functional theory data (GGA-PBE) for crystalline InBi5Au4 at its relaxed geometry.

a = 8.689 Å, b = 8.689 Å, c = 9.203 Å
α = 95.13°, β = 95.13°, γ = 23.62°
Sites, in units of the cell vectors:
1 In 0.000 0.000 0.000
2 Bi 0.000 0.000 0.500
3 Bi 0.334 0.334 0.600
4 Bi 0.336 0.336 0.118
5 Bi 0.664 0.664 0.882
6 Bi 0.666 0.666 0.400
7 Au 0.160 0.160 0.140
8 Au 0.496 0.496 0.761
9 Au 0.504 0.504 0.239
10 Au 0.840 0.840 0.860

Output
E	-35.0	eV per cell
symmetry	No. 12
M_tot	0.00	μB per formula unit



[2]
Density functional theory data (GGA-PBE) for crystalline In3BiAu6 at its relaxed geometry.

a = 7.594 Å, b = 7.594 Å, c = 8.737 Å
α = 90.00°, β = 90.00°, γ = 116.90°
Sites, in units of the cell vectors:
1 In 0.074 0.926 0.500
2 In 0.191 0.379 0.380
3 In 0.379 0.191 0.880
4 In 0.621 0.809 0.380
5 In 0.809 0.621 0.880
6 In 0.926 0.074 0.000
7 Bi 0.339 0.661 0.793
8 Bi 0.661 0.339 0.293
9 Au 0.039 0.479 0.071
10 Au 0.116 0.244 0.686
11 Au 0.244 0.116 0.186
12 Au 0.244 0.756 0.309
13 Au 0.458 0.542 0.088
14 Au 0.479 0.039 0.571
15 Au 0.521 0.961 0.071
16 Au 0.542 0.458 0.588
17 Au 0.756 0.244 0.809
18 Au 0.756 0.884 0.686
19 Au 0.884 0.756 0.186
20 Au 0.961 0.521 0.571

Output
E	-65.1	eV per cell
symmetry	No. 36
M_tot	0.00	μB per formula unit



[3]
Density functional theory data (GGA-PBE) for crystalline InBi3Au3 at its relaxed geometry.

a = 7.905 Å, b = 7.905 Å, c = 7.905 Å
α = 90.00°, β = 90.00°, γ = 90.00°
Sites, in units of the cell vectors:
1 In 0.000 0.000 0.000
2 In 0.500 0.500 0.500
3 Bi 0.000 0.250 0.500
4 Bi 0.000 0.750 0.500
5 Bi 0.250 0.500 0.000
6 Bi 0.500 0.000 0.250
7 Bi 0.500 0.000 0.750
8 Bi 0.750 0.500 0.000
9 Au 0.000 0.500 0.250
10 Au 0.000 0.500 0.750
11 Au 0.250 0.000 0.500
12 Au 0.500 0.250 0.000
13 Au 0.500 0.750 0.000
14 Au 0.750 0.000 0.500

Output
E	-45.6	eV per cell
symmetry	No. 223
M_tot	0.00	μB per formula unit



[4]
Density functional theory data (GGA-PBE) for crystalline In2BiAu8 at its relaxed geometry.

a = 7.931 Å, b = 7.931 Å, c = 5.299 Å
α = 108.91°, β = 108.91°, γ = 117.76°
Sites, in units of the cell vectors:
1 In 0.190 0.810 0.000
2 In 0.810 0.190 0.000
3 Bi 0.500 0.500 0.500
4 Au 0.074 0.074 0.317
5 Au 0.169 0.409 0.878
6 Au 0.279 0.721 0.500
7 Au 0.409 0.169 0.878
8 Au 0.591 0.831 0.122
9 Au 0.721 0.279 0.500
10 Au 0.831 0.591 0.122
11 Au 0.926 0.926 0.683

Output
E	-36.2	eV per cell
symmetry	No. 12
M_tot	0.00	μB per formula unit



[5]
Density functional theory data (GGA-PBE) for crystalline In2Bi3Au4 at its relaxed geometry.

a = 6.135 Å, b = 6.135 Å, c = 9.723 Å
α = 106.52°, β = 106.52°, γ = 41.22°
Sites, in units of the cell vectors:
1 In 0.146 0.146 0.329
2 In 0.854 0.854 0.671
3 Bi 0.125 0.125 0.912
4 Bi 0.500 0.500 0.500
5 Bi 0.875 0.875 0.088
6 Au 0.181 0.181 0.632
7 Au 0.394 0.394 0.881
8 Au 0.606 0.606 0.119
9 Au 0.819 0.819 0.368

Output
E	-30.7	eV per cell
symmetry	No. 12
M_tot	0.00	μB per formula unit



[6]
Density functional theory data (GGA-PBE) for crystalline InBi2Au2 at its relaxed geometry.

a = 9.007 Å, b = 9.007 Å, c = 9.007 Å
α = 154.72°, β = 154.72°, γ = 36.05°
Sites, in units of the cell vectors:
1 In 0.000 0.000 0.000
2 Bi 0.387 0.387 0.000
3 Bi 0.613 0.613 0.000
4 Au 0.250 0.750 0.500
5 Au 0.750 0.250 0.500

Output
E	-16.9	eV per cell
symmetry	No. 139
M_tot	0.00	μB per formula unit